# LiReIr2 PBE relaxed
# ΔH_f (0 K): -0.0159 eV per atom
data_LiReIr2
_cell_length_a 2.6861
_cell_length_b 4.1316
_cell_length_c 5.1862
_cell_angle_alpha 90.00
_cell_angle_beta 104.98
_cell_angle_gamma 90.00
_symmetry_space_group_name_H-M 'P 1 m 1'
_symmetry_Int_Tables_number 6
loop_
_symmetry_equiv_pos_as_xyz
'x,y,z'
'x,-y,z'
loop_
_atom_site_label
_atom_site_type_symbol
_atom_site_fract_x
_atom_site_fract_y
_atom_site_fract_z
Li1 Li 0.0000 0.0000 0.0000
Re1 Re 0.1976 0.5000 0.2917
Ir1 Ir 0.4471 0.5000 0.8309
Ir2 Ir 0.7977 0.0000 0.4997

# LiReIr2 PBE relaxed
# ΔH_f (0 K): 0.2291 eV per atom
data_LiReIr2
_cell_length_a 6.0669
_cell_length_b 6.0669
_cell_length_c 6.0669
_cell_angle_alpha 90.00
_cell_angle_beta 90.00
_cell_angle_gamma 90.00
_symmetry_space_group_name_H-M 'F -4 3 m'
_symmetry_Int_Tables_number 216
_symmetry_space_group_name_Hall 'F -4 2 3'
loop_
_atom_site_label
_atom_site_type_symbol
_atom_site_fract_x
_atom_site_fract_y
_atom_site_fract_z
Li1 Li 0.0000 0.0000 0.0000
Re1 Re 0.2500 0.2500 0.2500
Ir1 Ir 0.0000 0.0000 0.5000
Ir2 Ir 0.2500 0.2500 0.7500

# LiReIr2 PBE relaxed
# ΔH_f (0 K): -0.0433 eV per atom
data_LiReIr2
_cell_length_a 5.6062
_cell_length_b 7.4287
_cell_length_c 2.7114
_cell_angle_alpha 90.00
_cell_angle_beta 90.00
_cell_angle_gamma 90.00
_symmetry_space_group_name_H-M 'C m m m'
_symmetry_Int_Tables_number 65
_symmetry_space_group_name_Hall '-C 2 2'
loop_
_atom_site_label
_atom_site_type_symbol
_atom_site_fract_x
_atom_site_fract_y
_atom_site_fract_z
Li1 Li 0.0000 0.0000 0.0000
Re1 Re 0.0000 0.5000 0.0000
Ir1 Ir 0.2500 0.2500 0.5000

# LiReIr2 PBE relaxed
# ΔH_f (0 K): -0.0230 eV per atom
data_LiReIr2
_cell_length_a 2.7346
_cell_length_b 3.9768
_cell_length_c 5.1635
_cell_angle_alpha 90.00
_cell_angle_beta 90.00
_cell_angle_gamma 90.00
_symmetry_space_group_name_H-M 'P m m 2'
_symmetry_Int_Tables_number 25
loop_
_symmetry_equiv_pos_as_xyz
'x,y,z'
'-x,-y,z'
'-x,y,z'
'x,-y,z'
loop_
_atom_site_label
_atom_site_type_symbol
_atom_site_fract_x
_atom_site_fract_y
_atom_site_fract_z
Li1 Li 0.0000 0.0000 0.0000
Re1 Re 0.5000 0.5000 0.2764
Ir1 Ir 0.0000 0.0000 0.4981
Ir2 Ir 0.5000 0.5000 0.8055

# LiReIr PBE relaxed
# Offset from the most stable computed form: 0.0000 eV/atom
# ΔH_f (0 K): 0.0212 eV per atom
data_LiReIr
_cell_length_a 4.1803
_cell_length_b 4.1803
_cell_length_c 2.6813
_cell_angle_alpha 90.00
_cell_angle_beta 90.00
_cell_angle_gamma 120.00
_symmetry_space_group_name_H-M 'P 3 m 1'
_symmetry_Int_Tables_number 156
loop_
_symmetry_equiv_pos_as_xyz
'x,y,z'
'-y,x-y,z'
'-x+y,-x,z'
'-y,-x,z'
'-x+y,y,z'
'x,x-y,z'
loop_
_atom_site_label
_atom_site_type_symbol
_atom_site_fract_x
_atom_site_fract_y
_atom_site_fract_z
Li1 Li 0.0000 0.0000 0.0000
Re1 Re 0.6667 0.3333 0.3659
Ir1 Ir 0.3333 0.6667 0.7271

# LiReIr2 PBE relaxed
# ΔH_f (0 K): 0.2421 eV per atom
data_LiReIr2
_cell_length_a 2.7738
_cell_length_b 4.4556
_cell_length_c 4.5743
_cell_angle_alpha 90.00
_cell_angle_beta 90.00
_cell_angle_gamma 90.00
_symmetry_space_group_name_H-M 'P m m m'
_symmetry_Int_Tables_number 47
loop_
_symmetry_equiv_pos_as_xyz
'x,y,z'
'-x,-y,-z'
'-x,-y,z'
'x,y,-z'
'x,-y,-z'
'-x,y,z'
'-x,y,-z'
'x,-y,z'
loop_
_atom_site_label
_atom_site_type_symbol
_atom_site_fract_x
_atom_site_fract_y
_atom_site_fract_z
Li1 Li 0.0000 0.0000 0.0000
Re1 Re 0.5000 0.0000 0.5000
Ir1 Ir 0.0000 0.5000 0.5000
Ir2 Ir 0.5000 0.5000 0.0000

# LiReIr2 PBE relaxed
# ΔH_f (0 K): 0.0743 eV per atom
data_LiReIr2
_cell_length_a 2.8364
_cell_length_b 4.4646
_cell_length_c 8.4746
_cell_angle_alpha 90.00
_cell_angle_beta 90.00
_cell_angle_gamma 90.00
_symmetry_space_group_name_H-M 'I m m m'
_symmetry_Int_Tables_number 71
_symmetry_space_group_name_Hall '-I 2 2'
loop_
_atom_site_label
_atom_site_type_symbol
_atom_site_fract_x
_atom_site_fract_y
_atom_site_fract_z
Li1 Li 0.0000 0.0000 0.0000
Re1 Re 0.0000 0.0000 0.5000
Ir1 Ir 0.0000 0.5000 0.2682

# LiRe3Ir PBE relaxed
# Offset from the most stable computed form: 0.0000 eV/atom
# ΔH_f (0 K): 1.1561 eV per atom
data_LiRe3Ir
_cell_length_a 4.1016
_cell_length_b 4.1016
_cell_length_c 4.1016
_cell_angle_alpha 90.00
_cell_angle_beta 90.00
_cell_angle_gamma 90.00
_symmetry_space_group_name_H-M 'P m -3 m'
_symmetry_Int_Tables_number 221
_symmetry_space_group_name_Hall '-P 4 2 3'
loop_
_atom_site_label
_atom_site_type_symbol
_atom_site_fract_x
_atom_site_fract_y
_atom_site_fract_z
Li1 Li 0.0000 0.0000 0.0000
Re1 Re 0.0000 0.0000 0.5000
Ir1 Ir 0.5000 0.5000 0.5000

# Li2ReIr PBE relaxed
# Offset from the most stable computed form: 0.2749 eV/atom
# ΔH_f (0 K): 0.2219 eV per atom
data_Li2ReIr
_cell_length_a 4.9390
_cell_length_b 8.8377
_cell_length_c 2.6270
_cell_angle_alpha 90.00
_cell_angle_beta 90.00
_cell_angle_gamma 90.00
_symmetry_space_group_name_H-M 'C m m m'
_symmetry_Int_Tables_number 65
_symmetry_space_group_name_Hall '-C 2 2'
loop_
_atom_site_label
_atom_site_type_symbol
_atom_site_fract_x
_atom_site_fract_y
_atom_site_fract_z
Li1 Li 0.2500 0.2500 0.0000
Re1 Re 0.0000 0.0000 0.5000
Ir1 Ir 0.0000 0.5000 0.5000

# Li2ReIr PBE relaxed
# Offset from the most stable computed form: 0.1325 eV/atom
# ΔH_f (0 K): 0.0794 eV per atom
data_Li2ReIr
_cell_length_a 2.6682
_cell_length_b 2.6682
_cell_length_c 27.6596
_cell_angle_alpha 90.00
_cell_angle_beta 90.00
_cell_angle_gamma 120.00
_symmetry_space_group_name_H-M 'R -3 m'
_symmetry_Int_Tables_number 166
_symmetry_space_group_name_Hall '-R 3 2"'
loop_
_atom_site_label
_atom_site_type_symbol
_atom_site_fract_x
_atom_site_fract_y
_atom_site_fract_z
Li1 Li 0.0000 0.0000 0.2473
Re1 Re 0.0000 0.0000 0.0000
Ir1 Ir 0.0000 0.0000 0.5000

# LiReIr2 PBE relaxed
# ΔH_f (0 K): 0.1100 eV per atom
data_LiReIr2
_cell_length_a 2.8053
_cell_length_b 4.6192
_cell_length_c 9.0070
_cell_angle_alpha 90.00
_cell_angle_beta 90.00
_cell_angle_gamma 90.00
_symmetry_space_group_name_H-M 'C m m m'
_symmetry_Int_Tables_number 65
_symmetry_space_group_name_Hall '-C 2 2'
loop_
_atom_site_label
_atom_site_type_symbol
_atom_site_fract_x
_atom_site_fract_y
_atom_site_fract_z
Li1 Li 0.0000 0.0000 0.0000
Re1 Re 0.0000 0.0000 0.5000
Ir1 Ir 0.0000 0.5000 0.2483

# LiReIr2 PBE relaxed
# ΔH_f (0 K): 0.1323 eV per atom
data_LiReIr2
_cell_length_a 3.9814
_cell_length_b 3.9814
_cell_length_c 3.5345
_cell_angle_alpha 90.00
_cell_angle_beta 90.00
_cell_angle_gamma 90.00
_symmetry_space_group_name_H-M 'P 4/m m m'
_symmetry_Int_Tables_number 123
_symmetry_space_group_name_Hall '-P 4 2'
loop_
_atom_site_label
_atom_site_type_symbol
_atom_site_fract_x
_atom_site_fract_y
_atom_site_fract_z
Li1 Li 0.0000 0.0000 0.0000
Re1 Re 0.5000 0.5000 0.0000
Ir1 Ir 0.0000 0.5000 0.5000

# Li2ReIr PBE relaxed
# Offset from the most stable computed form: 0.1205 eV/atom
# ΔH_f (0 K): 0.0674 eV per atom
data_Li2ReIr
_cell_length_a 2.7165
_cell_length_b 4.5161
_cell_length_c 9.2606
_cell_angle_alpha 90.00
_cell_angle_beta 90.00
_cell_angle_gamma 90.00
_symmetry_space_group_name_H-M 'C m m m'
_symmetry_Int_Tables_number 65
_symmetry_space_group_name_Hall '-C 2 2'
loop_
_atom_site_label
_atom_site_type_symbol
_atom_site_fract_x
_atom_site_fract_y
_atom_site_fract_z
Li1 Li 0.0000 0.0000 0.2413
Re1 Re 0.0000 0.5000 0.5000
Ir1 Ir 0.0000 0.5000 0.0000

# LiReIr PBE relaxed
# Offset from the most stable computed form: 0.2736 eV/atom
# ΔH_f (0 K): 0.2947 eV per atom
data_LiReIr
_cell_length_a 5.7915
_cell_length_b 5.7915
_cell_length_c 5.7915
_cell_angle_alpha 90.00
_cell_angle_beta 90.00
_cell_angle_gamma 90.00
_symmetry_space_group_name_H-M 'F -4 3 m'
_symmetry_Int_Tables_number 216
_symmetry_space_group_name_Hall 'F -4 2 3'
loop_
_atom_site_label
_atom_site_type_symbol
_atom_site_fract_x
_atom_site_fract_y
_atom_site_fract_z
Li1 Li 0.0000 0.0000 0.0000
Re1 Re 0.0000 0.0000 0.5000
Ir1 Ir 0.2500 0.2500 0.7500

# LiReIr PBE relaxed
# Offset from the most stable computed form: 0.0062 eV/atom
# ΔH_f (0 K): 0.0274 eV per atom
data_LiReIr
_cell_length_a 2.7214
_cell_length_b 3.8953
_cell_length_c 7.7463
_cell_angle_alpha 90.00
_cell_angle_beta 90.00
_cell_angle_gamma 90.00
_symmetry_space_group_name_H-M 'I m m 2'
_symmetry_Int_Tables_number 44
loop_
_symmetry_equiv_pos_as_xyz
'x,y,z'
'-x,-y,z'
'-x,y,z'
'x,-y,z'
'x+1/2,y+1/2,z+1/2'
'-x+1/2,-y+1/2,z+1/2'
'-x+1/2,y+1/2,z+1/2'
'x+1/2,-y+1/2,z+1/2'
loop_
_atom_site_label
_atom_site_type_symbol
_atom_site_fract_x
_atom_site_fract_y
_atom_site_fract_z
Li1 Li 0.0000 0.0000 0.0000
Re1 Re 0.0000 0.0000 0.6752
Ir1 Ir 0.0000 0.0000 0.3299

# LiReIr2 PBE relaxed
# ΔH_f (0 K): 0.1877 eV per atom
data_LiReIr2
_cell_length_a 2.8080
_cell_length_b 2.8080
_cell_length_c 6.7813
_cell_angle_alpha 90.00
_cell_angle_beta 90.00
_cell_angle_gamma 90.00
_symmetry_space_group_name_H-M 'P 4 m m'
_symmetry_Int_Tables_number 99
loop_
_symmetry_equiv_pos_as_xyz
'x,y,z'
'-y,x,z'
'-x,-y,z'
'y,-x,z'
'-x,y,z'
'y,x,z'
'x,-y,z'
'-y,-x,z'
loop_
_atom_site_label
_atom_site_type_symbol
_atom_site_fract_x
_atom_site_fract_y
_atom_site_fract_z
Li1 Li 0.0000 0.0000 0.0000
Re1 Re 0.5000 0.5000 0.2419
Ir1 Ir 0.0000 0.0000 0.5092
Ir2 Ir 0.5000 0.5000 0.7940

# Li2ReIr PBE relaxed
# Offset from the most stable computed form: 0.2439 eV/atom
# ΔH_f (0 K): 0.1908 eV per atom
data_Li2ReIr
_cell_length_a 2.5411
_cell_length_b 2.5411
_cell_length_c 8.8132
_cell_angle_alpha 90.00
_cell_angle_beta 90.00
_cell_angle_gamma 90.00
_symmetry_space_group_name_H-M 'P 4/m m m'
_symmetry_Int_Tables_number 123
_symmetry_space_group_name_Hall '-P 4 2'
loop_
_atom_site_label
_atom_site_type_symbol
_atom_site_fract_x
_atom_site_fract_y
_atom_site_fract_z
Li1 Li 0.0000 0.0000 0.2393
Re1 Re 0.5000 0.5000 0.5000
Ir1 Ir 0.5000 0.5000 0.0000

# Li2ReIr PBE relaxed
# Offset from the most stable computed form: 0.2796 eV/atom
# ΔH_f (0 K): 0.2266 eV per atom
data_Li2ReIr
_cell_length_a 3.5886
_cell_length_b 3.5886
_cell_length_c 8.9252
_cell_angle_alpha 90.00
_cell_angle_beta 90.00
_cell_angle_gamma 90.00
_symmetry_space_group_name_H-M 'I 4/m m m'
_symmetry_Int_Tables_number 139
_symmetry_space_group_name_Hall '-I 4 2'
loop_
_atom_site_label
_atom_site_type_symbol
_atom_site_fract_x
_atom_site_fract_y
_atom_site_fract_z
Li1 Li 0.0000 0.5000 0.2500
Re1 Re 0.0000 0.0000 0.0000
Ir1 Ir 0.0000 0.0000 0.5000

# LiReIr PBE relaxed
# Offset from the most stable computed form: 0.1735 eV/atom
# ΔH_f (0 K): 0.1947 eV per atom
data_LiReIr
_cell_length_a 2.7810
_cell_length_b 4.6003
_cell_length_c 13.8275
_cell_angle_alpha 90.00
_cell_angle_beta 90.00
_cell_angle_gamma 90.00
_symmetry_space_group_name_H-M 'F m m 2'
_symmetry_Int_Tables_number 42
_symmetry_space_group_name_Hall 'F 2 -2'
loop_
_atom_site_label
_atom_site_type_symbol
_atom_site_fract_x
_atom_site_fract_y
_atom_site_fract_z
Li1 Li 0.0000 0.0000 0.0000
Re1 Re 0.0000 0.0000 0.3254
Ir1 Ir 0.0000 0.0000 0.6640

# Li2ReIr PBE relaxed
# Offset from the most stable computed form: 0.8695 eV/atom
# ΔH_f (0 K): 0.8165 eV per atom
data_Li2ReIr
_cell_length_a 6.7019
_cell_length_b 6.7019
_cell_length_c 4.9599
_cell_angle_alpha 90.00
_cell_angle_beta 90.00
_cell_angle_gamma 90.00
_symmetry_space_group_name_H-M 'I -4 2 d'
_symmetry_Int_Tables_number 122
_symmetry_space_group_name_Hall 'I -4 2bw'
loop_
_atom_site_label
_atom_site_type_symbol
_atom_site_fract_x
_atom_site_fract_y
_atom_site_fract_z
Li1 Li 0.2395 0.2500 0.1250
Re1 Re 0.0000 0.0000 0.5000
Ir1 Ir 0.0000 0.0000 0.0000